No. 1
Ag5Sn2: optimized geometry, PBE.

**DFT formation energy**: 0.064 eV/atom
**Density**: 8.95 g cm⁻³
**Offset from the most stable computed form**: 0.0469 eV per atom
**Volume**: 20.6 A^3/atom
**Total magnetic moment**: 0.0 μB per formula unit

Unit cell a=5.9898 b=9.2777 c=5.2692 alpha=90.00 beta=100.17 gamma=90.00
Space group C2/m (No. 12)
Symmetry-distinct sites (fractional):
Ag 0.0000 0.0000 0.0000 (multiplicity 2)
Ag 0.1154 0.2861 0.7678 (multiplicity 8)
Sn 0.2352 0.5000 0.3960 (multiplicity 4)

No. 2
Ag5Sn3: optimized geometry, PBE.

**DFT formation energy**: 0.082 eV/atom
**Density**: 8.56 g cm⁻³
**Offset from the most stable computed form**: 0.0409 eV per atom
**Volume**: 21.7 A^3/atom
**Total magnetic moment**: 0.0 μB per formula unit

Unit cell a=6.0165 b=15.9741 c=14.4518 alpha=90.00 beta=90.00 gamma=90.00
Space group Fdd2 (No. 43)
Symmetry-distinct sites (fractional):
Ag 0.0000 0.0000 0.0000 (multiplicity 8)
Ag 0.0066 0.3496 0.8792 (multiplicity 16)
Ag 0.0100 0.2577 0.0649 (multiplicity 16)
Sn 0.0000 0.0000 0.4891 (multiplicity 8)
Sn 0.0152 0.3424 0.4027 (multiplicity 16)

No. 3
Ag5Sn3: optimized geometry, PBE.

**DFT formation energy**: 0.041 eV/atom
**Density**: 8.78 g cm⁻³
**Offset from the most stable computed form**: 0.0000 eV per atom
**Volume**: 21.2 A^3/atom
**Total magnetic moment**: 0.0 μB per formula unit

Unit cell a=9.3624 b=7.1382 c=10.1421 alpha=90.00 beta=90.00 gamma=90.00
Space group Cmcm (No. 63)
Symmetry-distinct sites (fractional):
Ag 0.0000 0.0051 0.2500 (multiplicity 4)
Ag 0.0000 0.3065 0.0465 (multiplicity 8)
Ag 0.2234 0.2904 0.2500 (multiplicity 8)
Sn 0.0000 0.3984 0.7500 (multiplicity 4)
Sn 0.2105 0.0000 0.0000 (multiplicity 8)

No. 4
Ag5Sn2: optimized geometry, PBE.

**DFT formation energy**: 0.017 eV/atom
**Density**: 9.23 g cm⁻³
**Offset from the most stable computed form**: 0.0000 eV per atom
**Volume**: 20.0 A^3/atom
**Total magnetic moment**: 0.0 μB per formula unit

Unit cell a=13.6563 b=5.1670 c=7.9436 alpha=90.00 beta=94.04 gamma=90.00
Space group C2/c (No. 15)
Symmetry-distinct sites (fractional):
Ag 0.0000 0.1612 0.2500 (multiplicity 4)
Ag 0.1488 0.1620 0.9652 (multiplicity 8)
Ag 0.2120 0.3272 0.3156 (multiplicity 8)
Sn 0.0806 0.3299 0.6065 (multiplicity 8)

No. 5
AgSn3: optimized geometry, PBE.

**DFT formation energy**: 0.050 eV/atom
**Density**: 7.57 g cm⁻³
**Volume**: 25.4 A^3/atom
**Total magnetic moment**: 0.0 μB per formula unit

Unit cell a=12.0420 b=12.0420 c=5.6155 alpha=90.00 beta=90.00 gamma=90.00
Space group P4_2/n (No. 86, origin choice 2)
Symmetry-distinct sites (fractional):
Ag 0.0358 0.1971 0.0121 (multiplicity 8)
Sn 0.0230 0.5780 0.7776 (multiplicity 8)
Sn 0.1143 0.2312 0.5127 (multiplicity 8)
Sn 0.1398 0.6820 0.2656 (multiplicity 8)

No. 6
AgSn5: optimized geometry, PBE.

**DFT formation energy**: 0.084 eV/atom
**Density**: 7.42 g cm⁻³
**Offset from the most stable computed form**: 0.0062 eV per atom
**Volume**: 26.2 A^3/atom
**Total magnetic moment**: 0.0 μB per formula unit

Unit cell a=3.3513 b=17.2297 c=5.4355 alpha=90.00 beta=90.00 gamma=90.00
Space group Cmmm (No. 65)
Symmetry-distinct sites (fractional):
Ag 0.0000 0.0000 0.0000 (multiplicity 2)
Sn 0.0000 0.1693 0.5000 (multiplicity 4)
Sn 0.0000 0.3541 0.0000 (multiplicity 4)
Sn 0.0000 0.5000 0.5000 (multiplicity 2)